DFT (GGA-PBE) results for B4C after structural relaxation.

Results
ΔE to the lowest computed polymorph ... 463 meV per atom
Energy relative to the elements ... 0.36 eV per atom
Calculated volume ... 35 Å³/f.u.
Electronic total energy ... -6.826 eV/atom
M_tot ... 0.00 μB/f.u.

POSCAR file:
```
B4C
1.0
-3.041 3.041 1.872
3.041 -3.041 1.872
3.041 3.041 -1.872
B C
8 2
Direct
0.025 0.333 0.982
0.150 0.957 0.482
0.167 0.650 0.693
0.457 0.475 0.807
0.543 0.525 0.193
0.833 0.350 0.307
0.850 0.043 0.518
0.975 0.667 0.018
0.375 0.125 0.250
0.625 0.875 0.750
```